# 1
Material: Rb11NaHg2
Method: DFT, PBE-GGA
State: optimized geometry

Geometry as extended XYZ:
```
28
Lattice="-7.0087 8.7153 9.6719 7.0087 -8.7153 9.6719 7.0087 8.7153 -9.6719" Properties=species:S:1:pos:R:3 pbc="T T T"
Rb 0.0000 0.0000 0.0000
Rb 8.6496 3.7728 -3.1926
Rb 10.0961 -0.7514 2.3856
Rb 8.6496 -3.7728 6.4793
Rb 3.9214 0.7514 2.3856
Rb 5.3143 -4.6928 9.6719
Rb 5.3143 4.6928 0.0000
Rb 3.9214 -0.7514 7.2863
Rb 8.6496 3.7728 3.1926
Rb 3.0874 9.4666 -2.3856
Rb 1.6409 4.9425 3.1926
Rb 0.0000 0.0000 9.6719
Rb 5.3679 3.7728 6.4793
Rb 3.9214 -0.7514 12.0575
Rb -1.6409 4.9425 6.4793
Rb 3.0874 9.4666 2.3856
Rb 1.6945 4.0225 9.6719
Rb 1.6945 13.4081 0.0000
Rb 3.0874 7.9639 7.2863
Rb -1.6409 12.4880 3.1926
Rb -3.0874 9.4666 7.2863
Rb -1.6409 4.9425 12.8645
Na 7.0087 0.0000 4.8359
Na 0.0000 8.7153 4.8359
Hg 2.0272 3.0407 0.0000
Hg 9.0359 5.6746 0.0000
Hg -2.0272 3.0407 9.6719
Hg 4.9816 5.6746 9.6719
```

## Properties
- space group = Ibam (72)


# 2
Material: Rb5Na3Hg12
Method: DFT, PBE-GGA
State: optimized geometry

Geometry as extended XYZ:
```
80
Lattice="-9.8362 9.8362 9.8362 9.8362 -9.8362 9.8362 9.8362 9.8362 -9.8362" Properties=species:S:1:pos:R:3 pbc="T T T"
Rb 0.0000 0.0000 0.0000
Rb 4.9181 4.9181 -4.9181
Rb 4.9181 -4.9181 4.9181
Rb 9.8362 0.0000 0.0000
Rb 14.7544 2.4591 0.0000
Rb 9.8362 -4.9181 7.3772
Rb 7.3772 9.8362 -4.9181
Rb 7.3772 0.0000 4.9181
Rb 4.9181 7.3772 0.0000
Rb 9.8362 4.9181 2.4591
Rb -4.9181 4.9181 4.9181
Rb 0.0000 9.8362 0.0000
Rb 0.0000 0.0000 9.8362
Rb 4.9181 4.9181 4.9181
Rb 0.0000 4.9181 7.3772
Rb 4.9181 2.4591 9.8362
Rb 2.4591 9.8362 4.9181
Rb 2.4591 0.0000 14.7544
Rb 0.0000 14.7544 2.4591
Rb -4.9181 7.3772 9.8362
Na 4.9181 2.4591 0.0000
Na 9.8362 4.9181 -2.4591
Na 2.4591 0.0000 4.9181
Na 12.2953 0.0000 4.9181
Na 0.0000 4.9181 2.4591
Na 4.9181 -2.4591 9.8362
Na 4.9181 12.2953 0.0000
Na 9.8362 4.9181 7.3772
Na -2.4591 9.8362 4.9181
Na 7.3772 9.8362 4.9181
Na 0.0000 4.9181 12.2953
Na 4.9181 7.3772 9.8362
Hg 10.0133 -1.6600 2.9984
Hg 14.5773 -1.9197 3.2582
Hg 12.8347 -0.1770 1.6600
Hg 11.7559 -3.2582 4.7411
Hg 2.9984 0.1770 1.6600
Hg 11.7559 6.5781 -4.7411
Hg 6.5781 4.7411 -1.9197
Hg 8.1763 2.9984 -0.1770
Hg 1.6600 2.9984 0.1770
Hg 13.0944 5.0952 -1.9197
Hg 0.1770 1.6600 2.9984
Hg 4.7411 -1.9197 6.5781
Hg 10.0133 8.1763 -2.9984
Hg 4.7411 1.9197 3.2582
Hg 3.2582 4.7411 1.9197
Hg 11.4962 6.8378 -0.1770
Hg 8.1763 -2.9984 10.0133
Hg 6.5781 -4.7411 11.7559
Hg 1.9197 3.2582 4.7411
Hg 2.9984 -0.1770 8.1763
Hg 2.9984 10.0133 -1.6600
Hg 11.7559 3.2582 5.0952
Hg 4.7411 11.7559 -3.2582
Hg 10.0133 1.6600 6.8378
Hg -0.1770 8.1763 2.9984
Hg 5.0952 -1.9197 13.0944
Hg -1.9197 6.5781 4.7411
Hg 6.8378 -0.1770 11.4962
Hg 6.8378 10.0133 1.6600
Hg 7.9166 6.5781 5.0952
Hg 3.2582 14.5773 -1.9197
Hg 1.6600 12.8347 -0.1770
Hg -1.6600 2.9984 10.0133
Hg 6.5781 5.0952 7.9166
Hg 5.0952 7.9166 6.5781
Hg -0.1770 1.6600 12.8347
Hg 5.0952 11.7559 3.2582
Hg 9.6592 8.1763 6.8378
Hg -3.2582 4.7411 11.7559
Hg 8.1763 6.8378 9.6592
Hg 1.6600 6.8378 10.0133
Hg 3.2582 5.0952 11.7559
Hg -1.9197 3.2582 14.5773
Hg 6.8378 9.6592 8.1763
Hg -1.9197 13.0944 5.0952
Hg -2.9984 10.0133 8.1763
Hg -4.7411 11.7559 6.5781
Hg -0.1770 11.4962 6.8378
```

## Properties
- space group = Ia-3d (230)


# 3
Material: RbNa6Hg6
Method: DFT, PBE-GGA
State: optimized geometry

Geometry as extended XYZ:
```
13
Lattice="-3.1100 5.4369 5.6422 3.1100 -5.4369 5.6422 3.1100 5.4369 -5.6422" Properties=species:S:1:pos:R:3 pbc="T T T"
Rb 0.0000 0.0000 0.0000
Na 3.1100 0.0000 2.2169
Na 0.0000 3.6834 0.0000
Na 0.0000 0.0000 3.9690
Na 0.0000 0.0000 7.3155
Na 0.0000 7.1904 0.0000
Na 0.0000 5.4369 3.4253
Hg 1.5550 2.7184 -2.8211
Hg 1.5550 -2.7184 2.8211
Hg 3.1100 2.4406 0.0000
Hg -1.5550 2.7184 2.8211
Hg 1.5550 2.7184 2.8211
Hg 0.0000 2.9963 5.6422
```

## Properties
- space group = Immm (71)


# 4
Material: Rb4Na5Hg
Method: DFT, PBE-GGA
State: optimized geometry

Geometry as extended XYZ:
```
10
Lattice="-6.3202 6.3202 3.3446 6.3202 -6.3202 3.3446 6.3202 6.3202 -3.3446" Properties=species:S:1:pos:R:3 pbc="T T T"
Rb 3.6979 0.0068 0.0000
Rb 6.3134 -2.6223 3.3446
Rb 0.0068 8.9424 0.0000
Rb 2.6223 6.3134 3.3446
Na 0.0000 0.0000 1.5935
Na 8.3885 4.2422 0.1845
Na 4.2422 4.2518 0.1845
Na 2.0780 2.0683 3.5291
Na -2.0683 2.0780 3.5291
Hg 0.0000 0.0000 5.0135
```

## Properties
- space group = I4 (79)


# 5
Material: Rb3Na9Hg2
Method: DFT, PBE-GGA
State: optimized geometry

Geometry as extended XYZ:
```
14
Lattice="-2.8190 6.8908 7.7174 2.8190 -6.8908 7.7174 2.8190 6.8908 -7.7174" Properties=species:S:1:pos:R:3 pbc="T T T"
Rb 0.0000 0.0000 0.0000
Rb 0.0000 0.0000 4.7744
Rb 0.0000 0.0000 10.6605
Na 2.8190 2.0954 -2.2740
Na 2.8190 -2.9262 5.9348
Na 2.8190 2.0954 2.2740
Na 0.0000 3.9647 1.7826
Na 0.0000 6.8908 0.0000
Na 2.8190 2.9262 5.9348
Na 0.0000 4.7954 5.4435
Na 0.0000 9.8170 1.7826
Na 0.0000 4.7954 9.9914
Hg 2.8190 4.4884 0.0000
Hg 0.0000 2.4024 7.7174
```

## Properties
- space group = Immm (71)


# 6
Material: Rb4Na3Hg2
Method: DFT, PBE-GGA
State: optimized geometry

Geometry as extended XYZ:
```
9
Lattice="10.0989 -2.5341 0.0000 10.0989 2.5341 0.0000 -3.0530 0.0000 8.9606" Properties=species:S:1:pos:R:3 pbc="T T T"
Rb 0.5279 0.0000 3.2060
Rb 2.9436 0.0000 7.3232
Rb 14.2013 0.0000 1.6374
Rb 16.6170 0.0000 5.7546
Na 7.3838 0.0000 2.3971
Na 10.0989 0.0000 0.0000
Na 9.7611 0.0000 6.5635
Hg -0.8964 0.0000 8.5196
Hg 18.0413 0.0000 0.4410
```

## Properties
- space group = C2/m (12)


Table of energy of formation from the pure elements (eV per atom), in record order: 0.00, -0.14, -0.19, -0.03, -0.04, -0.11